This record from Alexandria via LeMat-Bulk describes a relaxed AcNd2TmSe6 crystal. The functional is PBE-GGA.

```
AcNd2TmSe6
1.0
3.750 2.165 6.624
-3.750 2.165 6.624
0.000 -4.330 6.624
Ac Nd Tm Se
1 2 1 6
Direct
0.000 0.000 0.000
0.287 0.287 0.287
0.795 0.795 0.795
0.489 0.489 0.489
0.096 0.669 0.416
0.211 0.590 0.875
0.416 0.096 0.669
0.590 0.875 0.211
0.669 0.416 0.096
0.875 0.211 0.590
```

raw formation energy: -1.860 eV/atom
D(E_F): 0.0 states/eV/f.u.
E_tot: -5.7624 eV per atom
space-group type: R3 (146)

This record from Alexandria via LeMat-Bulk describes a relaxed AcNd2TmSe5 crystal. The functional is PBE-GGA.

```
AcNd2TmSe5
1.0
5.116 0.000 0.000
0.000 5.116 0.000
0.000 0.000 11.348
Ac Nd Tm Se
1 2 1 5
Direct
0.000 0.000 0.000
0.500 0.500 0.342
0.500 0.500 0.658
0.000 0.000 0.500
0.000 0.000 0.258
0.000 0.000 0.742
0.000 0.500 0.500
0.500 0.000 0.500
0.500 0.500 0.000
```

raw formation energy: -1.395 eV/atom
D(E_F): 3.9 states/eV/f.u.
E_tot: -5.3441 eV per atom
space-group type: P4/mmm (123)

This record from Alexandria via LeMat-Bulk describes a relaxed Ac3NdY2Se6 crystal. The functional is PBE-GGA.

```
Ac3NdY2Se6
1.0
3.662 -6.363 0.000
3.662 6.363 0.000
-2.457 0.000 7.232
Ac Nd Y Se
3 1 2 6
Direct
0.000 0.000 0.000
0.337 0.663 0.000
0.663 0.337 0.000
0.500 0.500 0.500
0.167 0.833 0.500
0.833 0.167 0.500
0.083 0.425 0.273
0.233 0.233 0.723
0.425 0.083 0.273
0.575 0.917 0.727
0.767 0.767 0.277
0.917 0.575 0.727
```

raw formation energy: -1.822 eV/atom
D(E_F): 5.6 states/eV/f.u.
E_tot: -6.0662 eV per atom
space-group type: C2/m (12)

This record from Alexandria via LeMat-Bulk describes a relaxed AcNd2YSe4 crystal. The functional is PBE-GGA.

```
AcNd2YSe4
1.0
7.319 0.000 0.000
0.000 4.195 0.000
-2.410 0.000 7.125
Ac Nd Y Se
1 2 1 4
Direct
0.000 0.000 0.000
0.500 0.000 0.500
0.500 0.500 0.000
0.000 0.500 0.500
0.245 0.000 0.735
0.255 0.500 0.265
0.745 0.500 0.735
0.755 0.000 0.265
```

raw formation energy: -1.803 eV/atom
D(E_F): 4.8 states/eV/f.u.
E_tot: -6.0593 eV per atom
space-group type: P2/m (10)

This record from Alexandria via LeMat-Bulk describes a relaxed Ac3NdY3Se8 crystal. The functional is PBE-GGA.

```
Ac3NdY3Se8
1.0
4.206 2.429 7.124
-4.206 2.429 7.124
0.000 -4.857 7.124
Ac Nd Y Se
3 1 3 8
Direct
0.000 0.500 0.500
0.500 0.000 0.500
0.500 0.500 0.000
0.500 0.500 0.500
0.000 0.000 0.500
0.000 0.500 0.000
0.500 0.000 0.000
0.231 0.751 0.751
0.241 0.241 0.241
0.249 0.249 0.769
0.249 0.769 0.249
0.751 0.231 0.751
0.751 0.751 0.231
0.759 0.759 0.759
0.769 0.249 0.249
```

raw formation energy: -1.865 eV/atom
D(E_F): 7.6 states/eV/f.u.
E_tot: -6.1561 eV per atom
space-group type: R-3m (166)

This record from Alexandria via LeMat-Bulk describes a relaxed Ac3Nd2YSe6 crystal. The functional is PBE-GGA.

```
Ac3Nd2YSe6
1.0
3.713 -6.450 0.000
3.713 6.450 0.000
-2.488 0.000 7.155
Ac Nd Y Se
3 2 1 6
Direct
0.000 0.000 0.000
0.330 0.670 0.000
0.670 0.330 0.000
0.167 0.833 0.500
0.833 0.167 0.500
0.500 0.500 0.500
0.099 0.424 0.271
0.253 0.253 0.733
0.424 0.099 0.271
0.576 0.901 0.729
0.747 0.747 0.267
0.901 0.576 0.729
```

raw formation energy: -1.835 eV/atom
D(E_F): 6.2 states/eV/f.u.
E_tot: -5.9378 eV per atom
space-group type: C2/m (12)

This record from Alexandria via LeMat-Bulk describes a relaxed Ac2NdYSe6 crystal. The functional is PBE-GGA.

```
Ac2NdYSe6
1.0
3.820 2.206 6.598
-3.820 2.206 6.598
0.000 -4.412 6.598
Ac Nd Y Se
2 1 1 6
Direct
0.000 0.000 0.000
0.499 0.499 0.499
0.290 0.290 0.290
0.792 0.792 0.792
0.071 0.427 0.666
0.161 0.917 0.581
0.427 0.666 0.071
0.581 0.161 0.917
0.666 0.071 0.427
0.917 0.581 0.161
```

raw formation energy: -1.919 eV/atom
D(E_F): 0.0 states/eV/f.u.
E_tot: -5.9542 eV per atom
space-group type: R3 (146)

This record from Alexandria via LeMat-Bulk describes a relaxed Ac2NdYSe4 crystal. The functional is PBE-GGA.

```
Ac2NdYSe4
1.0
7.367 0.000 0.000
0.000 4.220 0.000
-2.427 0.000 7.294
Ac Nd Y Se
2 1 1 4
Direct
0.000 0.000 0.000
0.500 0.500 0.000
0.000 0.500 0.500
0.500 0.000 0.500
0.249 0.000 0.730
0.265 0.500 0.275
0.735 0.500 0.725
0.751 0.000 0.270
```

raw formation energy: -1.824 eV/atom
D(E_F): 4.3 states/eV/f.u.
E_tot: -5.9975 eV per atom
space-group type: P2/m (10)